BeCdNiBi | GGA-PBE | relaxed

POSCAR file:
```
BeCdNiBi
1.0
2.293 -3.862 1.229
-1.158 -2.251 3.909
-2.118 -4.141 -0.238
Ni Be Cd Bi
1 1 1 1
Direct
0.750 0.750 0.750
0.250 0.250 0.250
0.500 0.500 0.500
0.000 0.000 0.000
```



TbSb2Pd2 | GGA-PBE | relaxed

POSCAR file:
```
TbSb2Pd2
1.0
-2.232 1.445 -5.429
-2.372 -3.909 3.954
-4.275 5.981 3.349
Sb Pd Tb
4 4 2
Direct
0.869 0.144 0.364
0.144 0.869 0.364
0.856 0.131 0.864
0.131 0.856 0.864
0.507 0.055 0.615
0.055 0.507 0.615
0.493 0.945 0.115
0.945 0.493 0.115
0.584 0.584 0.599
0.416 0.416 0.099
```



CsThRe | GGA-PBE | relaxed

POSCAR file:
```
CsThRe
1.0
0.000 3.509 3.509
3.509 0.000 3.509
3.509 3.509 0.000
Th Cs Re
1 1 1
Direct
0.750 0.750 0.750
0.000 0.000 0.000
0.250 0.250 0.250
```



Short version: volume = 17.9; 23.7; 28.8 A^3/atom, in the order given.
Short version: calculated total energy = -3.09; -5.14; -4.51 eV/atom, in the order given.
Short version: M_tot = 0.00; 0.01; 1.28 μB/cell, in the order given.